Entry 1:
Here is KNa2Hg2 after structural relaxation from the Alexandria database. Energies are from PBE.

Output
M_tot = 0.000 μB/cell
energy above the lowest structure with this stoichiometry = 7 meV/atom
crystal system = tetragonal
density of states at the Fermi level = 2.21 states/eV/f.u.
ΔH_f (0 K) = -0.186 eV/atom
raw total energy = -10.542 eV per cell

Lattice parameters (Å, degrees): 9.3592 9.3592 3.5188 90.00 90.00 90.00
Positions (direct):
Na1 0.8750 0.6250 0.0000
Na2 0.1250 0.3750 0.0000
Na3 0.3750 0.8750 0.0000
Na4 0.6250 0.1250 0.0000
Hg1 0.8300 0.3300 0.5000
Hg2 0.3300 0.1700 0.5000
Hg3 0.1700 0.6700 0.5000
Hg4 0.6700 0.8300 0.5000
K1 0.0000 0.0000 0.0000
K2 0.5000 0.5000 0.0000

=====

Entry 2:
Here is MnFePdAu after structural relaxation from the Alexandria database. Energies are from PBE.

Output
M_tot = 7.558 μB/cell
crystal system = cubic
density of states at the Fermi level = 4.32 states/eV/f.u.
ΔH_f (0 K) = 0.047 eV/atom
raw total energy = -25.914 eV per cell

Lattice parameters (Å, degrees): 4.4318 4.4318 4.4318 60.00 60.00 60.00
Last column: magnetic moment on the atom in μB.
Positions (direct):
Pd1 0.2500 0.2500 0.2500  0.28
Au1 0.7500 0.7500 0.7500  0.08
Mn1 0.0000 0.0000 0.0000  3.90
Fe1 0.5000 0.5000 0.5000  3.09